1.
! PBE Tb2Sm6Er3Mg, optimized geometry; values from VASP
! Density of states at the Fermi level in states/eV per cell: 12.9
! Space group: C2/m
! Formation energy in eV/atom: 0.0201
&SYSTEM
  ibrav = 0, nat = 12, ntyp = 4
/
ATOMIC_SPECIES
Tb 158.93 Tb.upf
Sm 150.36 Sm.upf
Er 167.26 Er.upf
Mg 24.30 Mg.upf
CELL_PARAMETERS angstrom
-1.036 -2.061 -5.729
-1.233 -3.612 4.855
-9.964 6.123 0.712
ATOMIC_POSITIONS angstrom
Tb -1.167 -3.095 1.326
Tb -1.102 -2.578 -2.200
Sm -9.142 0.590 -1.880
Sm -4.208 -2.719 -0.477
Sm -3.091 -0.140 1.719
Sm -9.208 0.075 1.637
Sm -8.026 3.169 0.315
Sm -3.026 0.376 -1.798
Er -6.182 -0.292 3.452
Er -6.051 0.743 -3.613
Er -6.117 0.225 -0.081
Mg 0.000 0.000 0.000

2.
! PBE Tb6Sm3Er2Mg, optimized geometry; values from VASP
! Density of states at the Fermi level in states/eV per cell: 16.5
! Space group: C2/m
! Formation energy in eV/atom: 0.0306
&SYSTEM
  ibrav = 0, nat = 12, ntyp = 4
/
ATOMIC_SPECIES
Tb 158.93 Tb.upf
Sm 150.36 Sm.upf
Er 167.26 Er.upf
Mg 24.30 Mg.upf
CELL_PARAMETERS angstrom
6.161 -0.003 0.005
-3.082 5.335 0.005
-1.045 -1.809 11.509
ATOMIC_POSITIONS angstrom
Tb 3.068 1.762 8.697
Tb 2.045 3.541 2.840
Tb -1.033 1.760 2.822
Tb -0.007 3.538 8.697
Tb -0.011 -0.019 8.678
Tb 2.041 -0.016 2.822
Sm -2.069 3.544 5.759
Sm 4.104 -0.021 5.759
Sm 1.017 1.761 5.759
Er 0.004 3.552 0.005
Er 3.075 1.779 0.005
Mg 0.000 0.000 0.000

3.
! PBE SmErMgTc, optimized geometry; values from VASP
! Density of states at the Fermi level in states/eV per cell: 2.3
! Space group: F-43m
! Formation energy in eV/atom: 0.0144
&SYSTEM
  ibrav = 0, nat = 4, ntyp = 4
/
ATOMIC_SPECIES
Mg 24.30 Mg.upf
Tc 98.00 Tc.upf
Sm 150.36 Sm.upf
Er 167.26 Er.upf
CELL_PARAMETERS angstrom
-3.377 3.764 -0.197
-2.279 1.578 4.233
1.141 4.528 1.951
ATOMIC_POSITIONS angstrom
Mg -2.258 4.935 2.994
Tc 0.000 0.000 0.000
Sm -3.386 7.402 4.491
Er -1.129 2.467 1.497

4.
! PBE Sm2ErMgTe5, optimized geometry; values from VASP
! Density of states at the Fermi level in states/eV per cell: 4.8
! Formation energy without anion corrections in meV/atom: -1201
! Space group: Cmc2_1
&SYSTEM
  ibrav = 0, nat = 18, ntyp = 4
/
ATOMIC_SPECIES
Sm 150.36 Sm.upf
Er 167.26 Er.upf
Mg 24.30 Mg.upf
Te 127.60 Te.upf
CELL_PARAMETERS angstrom
-1.094 0.592 -4.126
0.701 -9.632 0.684
-13.088 -0.714 3.367
ATOMIC_POSITIONS angstrom
Sm -10.934 -7.105 -0.371
Sm -8.886 -2.576 1.986
Sm -3.915 -2.724 0.647
Sm -2.804 -7.080 -2.523
Er -7.160 -5.591 -1.154
Er -0.098 -3.824 -0.522
Mg -13.043 -1.398 1.007
Mg -5.831 -8.650 0.305
Te -12.962 -7.509 2.360
Te -11.599 -3.843 0.273
Te -10.012 -9.807 1.248
Te -8.688 -5.746 1.479
Te -7.956 -8.517 -1.363
Te -7.036 -2.601 -0.758
Te -4.470 -6.052 0.317
Te -4.167 0.014 -1.144
Te -2.711 -3.894 -2.090
Te -0.988 -0.990 0.120